VASP calculation (PBE-GGA) on a relaxed Mn3W crystal.

Lattice parameters (Å, degrees): 2.576 4.086 4.849 90.00 79.79 90.00
Sites, in units of the cell vectors:
Mn 0.003 0.000 0.018
Mn 0.250 0.500 0.250
Mn 0.497 0.000 0.482
W 0.750 0.500 0.750

## Properties
* crystal system: monoclinic
* symmetry: P2/m, No. 10
* ΔE_f: 0.1673 eV/atom